Entry 1:
Computed, not measured: a relaxed La2PW crystal at the PBE-GGA level of DFT.

Cell lengths 6.6108, 6.6108, 6.6108 Å; angles 148.04, 139.32, 52.64 degrees
Positions (direct):
1 La 0.0175 0.0175 0.0000
2 La 0.7522 0.2522 0.5000
3 W 0.2960 0.7960 0.5000
4 P 0.4342 0.4342 0.0000

Values from the calculation:
relative energy among the computed polymorphs	0.085	eV/atom
E_tot	-29.10	eV per cell
space group	Imm2, No. 44
E_form	-0.221	eV/atom

Entry 2:
Computed, not measured: a relaxed Zr2N2O crystal at the PBE-GGA level of DFT.

Cell lengths 5.5282, 5.7752, 16.2122 Å; angles 90.01, 89.98, 90.24 degrees
Positions (direct):
1 N 0.8427 0.3855 0.6991
2 N 0.7951 0.9752 0.3795
3 N 0.6504 0.6163 0.1995
4 N 0.8610 0.6661 0.5509
5 N 0.7044 0.4729 0.3777
6 N 0.8700 0.8338 0.0507
7 N 0.6296 0.3334 0.0515
8 N 0.3446 0.1043 0.2994
9 N 0.8484 0.1160 0.2003
10 N 0.6563 0.8895 0.7000
11 N 0.2068 0.0318 0.6215
12 N 0.7958 0.5268 0.8791
13 N 0.1573 0.6025 0.2975
14 N 0.1640 0.9015 0.7984
15 N 0.3400 0.3984 0.7994
16 N 0.7054 0.0277 0.8782
17 Zr 0.5011 0.2967 0.9251
18 Zr 0.4989 0.2018 0.4208
19 Zr 0.9836 0.2977 0.5742
20 Zr 0.9884 0.2461 0.3135
21 Zr 0.0090 0.7534 0.1868
22 Zr 0.0087 0.7584 0.6843
23 Zr 0.5137 0.7528 0.8127
24 Zr 0.5288 0.6991 0.0697
25 Zr 0.5135 0.7984 0.5717
26 Zr 0.4770 0.2384 0.6916
27 Zr 0.4926 0.2572 0.1868
28 Zr 0.0003 0.7999 0.9241
29 Zr 0.9703 0.1977 0.0700
30 Zr 0.9926 0.7016 0.4277
31 Zr 0.5094 0.7450 0.3130
32 Zr 0.9822 0.2569 0.8117
33 O 0.1520 0.3338 0.4544
34 O 0.1941 0.4670 0.1243
35 O 0.3515 0.8283 0.4527
36 O 0.6443 0.1596 0.5464
37 O 0.3085 0.5232 0.6223
38 O 0.3518 0.6699 0.9531
39 O 0.1499 0.1691 0.9546
40 O 0.3059 0.9664 0.1257

Values from the calculation:
formation energy without anion corrections	-1.963	eV per atom
E_tot	-388.17	eV per cell
space group	P1, No. 1

Entry 3:
Computed, not measured: a relaxed Sc2SbSe crystal at the PBE-GGA level of DFT.

Cell lengths 3.4052, 3.4052, 7.3687 Å; angles 90.00, 90.00, 90.00 degrees
Last column: magnetic moment on the atom in μB.
Positions (direct):
1 Sb 0.5000 0.5000 0.7500  -0.02
2 Sc 0.0000 0.0000 0.0228  0.35
3 Sc 0.0000 0.0000 0.4772  0.35
4 Se 0.5000 0.5000 0.2500  -0.02

Values from the calculation:
relative energy among the computed polymorphs	0.309	eV/atom
formation energy without anion corrections	-0.955	eV per atom
E_tot	-24.09	eV per cell
space group	P4/mmm, No. 123

Entry 4:
Computed, not measured: a relaxed Ag12Hg3Se5 crystal at the PBE-GGA level of DFT.

Cell lengths 13.7236, 13.7236, 13.7236 Å; angles 109.47, 109.47, 109.47 degrees
Positions (direct):
1 Hg 0.6250 0.2500 0.3750
2 Hg 0.7500 0.8750 0.6250
3 Hg 0.6250 0.3750 0.7500
4 Hg 0.3750 0.6250 0.2500
5 Hg 0.8750 0.1250 0.2500
6 Hg 0.7500 0.3750 0.1250
7 Hg 0.2500 0.6250 0.8750
8 Hg 0.1250 0.8750 0.7500
9 Hg 0.1250 0.2500 0.8750
10 Hg 0.8750 0.7500 0.1250
11 Hg 0.3750 0.7500 0.6250
12 Hg 0.2500 0.1250 0.3750
13 Se 0.0000 0.5000 0.5000
14 Se 0.5000 0.0000 0.0000
15 Se 0.0000 0.5000 0.0000
16 Se 0.1250 0.7500 0.3750
17 Se 0.1250 0.3750 0.2500
18 Se 0.5000 0.5000 0.5000
19 Se 0.0000 0.0000 0.0000
20 Se 0.3750 0.1250 0.7500
21 Se 0.5000 0.5000 0.0000
22 Se 0.7500 0.1250 0.8750
23 Se 0.5000 0.0000 0.5000
24 Se 0.8750 0.6250 0.7500
25 Se 0.8750 0.2500 0.6250
26 Se 0.2500 0.8750 0.1250
27 Se 0.6250 0.7500 0.8750
28 Se 0.3750 0.2500 0.1250
29 Se 0.7500 0.6250 0.3750
30 Se 0.6250 0.8750 0.2500
31 Se 0.0000 0.0000 0.5000
32 Se 0.2500 0.3750 0.6250
33 Ag 0.3615 0.9428 0.7775
34 Ag 0.0840 0.1653 0.2225
35 Ag 0.9160 0.8347 0.7775
36 Ag 0.9187 0.8347 0.5572
37 Ag 0.7225 0.1385 0.0572
38 Ag 0.6385 0.5813 0.9160
39 Ag 0.5813 0.9428 0.6653
40 Ag 0.1653 0.0813 0.9428
41 Ag 0.3615 0.4187 0.0840
42 Ag 0.8615 0.5840 0.9187
43 Ag 0.1385 0.4160 0.0813
44 Ag 0.9428 0.3615 0.2775
45 Ag 0.8347 0.9187 0.0572
46 Ag 0.4160 0.1385 0.5813
47 Ag 0.4187 0.3615 0.5840
48 Ag 0.0813 0.1653 0.4428
49 Ag 0.2225 0.6653 0.0840
50 Ag 0.8347 0.9160 0.2775
51 Ag 0.7775 0.3347 0.9160
52 Ag 0.0572 0.6385 0.7225
53 Ag 0.6385 0.0572 0.2225
54 Ag 0.6653 0.4428 0.5813
55 Ag 0.6653 0.2225 0.5840
56 Ag 0.4428 0.7775 0.8615
57 Ag 0.5840 0.8615 0.4187
58 Ag 0.7225 0.5840 0.1653
59 Ag 0.8615 0.2775 0.4428
60 Ag 0.1653 0.0840 0.7225
61 Ag 0.2775 0.8615 0.9428
62 Ag 0.9160 0.0813 0.6385
63 Ag 0.0840 0.9187 0.3615
64 Ag 0.3347 0.5572 0.4187
65 Ag 0.4187 0.0572 0.3347
66 Ag 0.2225 0.5572 0.6385
67 Ag 0.5572 0.3347 0.9187
68 Ag 0.3347 0.7775 0.4160
69 Ag 0.4428 0.6653 0.0813
70 Ag 0.9428 0.5813 0.1653
71 Ag 0.0572 0.4187 0.8347
72 Ag 0.4160 0.2775 0.3347
73 Ag 0.1385 0.7225 0.5572
74 Ag 0.5813 0.6385 0.4160
75 Ag 0.7775 0.4428 0.3615
76 Ag 0.2775 0.4160 0.8347
77 Ag 0.9187 0.0840 0.8615
78 Ag 0.0813 0.9160 0.1385
79 Ag 0.5840 0.7225 0.6653
80 Ag 0.5572 0.2225 0.1385

Values from the calculation:
formation energy without anion corrections	0.065	eV per atom
E_tot	-204.95	eV per cell
space group	Ia-3d, No. 230

Listing spin magnetization for the structures above in their given order: 0.000, 0.000, 0.244, 0.000 μB per atom.